No. 1
VASP calculation (PBE) on an optimized crystal structure of TcIN2.

Values from the calculation:
DOS at the Fermi energy   3.475 states/eV/cell
Space-group type   Fm-3m (225)
Uncorrected energy   -5.23 eV per atom
Formation energy without anion corrections   184 kJ/mol of atoms
Polymorph energy (0 for the lowest one)   227 meV/atom

```
TcIN2
1.0
0.000 2.879 2.879
2.879 0.000 2.879
2.879 2.879 0.000
Tc I N
1 1 2
direct
0.000 0.000 0.000
0.500 0.500 0.500
0.250 0.250 0.250
0.750 0.750 0.750
```



No. 2
VASP calculation (PBE) on an optimized crystal structure of Ta4OsRu5.

Values from the calculation:
DOS at the Fermi energy   4.992 states/eV/cell
Space-group type   C2/m (12)
Uncorrected energy   -10.85 eV per atom
E_form   -348.2 meV per atom

```
Ta4OsRu5
1.0
7.207 -2.124 0.000
7.207 2.124 0.000
-1.984 0.000 5.121
Ta Os Ru
4 1 5
direct
0.084 0.084 0.341
0.303 0.303 0.871
0.697 0.697 0.129
0.916 0.916 0.659
0.500 0.500 0.000
0.114 0.114 0.852
0.295 0.295 0.377
0.500 0.500 0.500
0.705 0.705 0.623
0.886 0.886 0.148
```



Q: uncorrected energy of number 2 (Ta4OsRu5)?
A: -10.85 eV per atom